1.
Computed, not measured: a relaxed structure of LaIrOs2Pb at the PBE level of DFT.

Unit cell a=4.9622 b=4.9622 c=5.0248 alpha=90.00 beta=90.00 gamma=90.00
With the nearest neighbours (Å) after each atom.
Fractional coordinates of all 5 atoms:
La 0.0000 0.0000 0.0000  4 Os 2.48, 2 Ir 2.51
Ir 0.0000 0.0000 0.5000  2 La 2.51
Os 0.0000 0.5000 0.0000  2 La 2.48
Os 0.5000 0.0000 0.0000  2 La 2.48
Pb 0.5000 0.5000 0.5000  4 Ir 3.51, 8 Os 3.53

Calculated values
- E_tot: -28.74 eV for the cell shown
- Energy relative to the elements: 2.244 eV/atom
- N(E_F): 6.36 states/eV/f.u.
- Symmetry: P4/mmm

---

2.
Computed, not measured: a relaxed structure of Mg5ScIn6 at the PBE level of DFT.

Unit cell a=8.4755 b=8.4755 c=4.5748 alpha=105.47 beta=105.47 gamma=109.05
With the nearest neighbours (Å) after each atom.
Fractional coordinates of all 12 atoms:
Mg 0.0000 0.0000 0.0000  8 In 3.18-3.21, 4 Mg 3.23
Mg 0.1648 0.8352 0.5000  8 In 3.17-3.19, 4 Mg 3.23
Mg 0.3300 0.6700 0.0000  8 In 3.13-3.18, 2 Mg 3.23, 2 Sc 3.28
Mg 0.6700 0.3300 0.0000  8 In 3.13-3.18, 2 Mg 3.23, 2 Sc 3.28
Mg 0.8352 0.1648 0.5000  8 In 3.17-3.19, 4 Mg 3.23
Sc 0.5000 0.5000 0.5000  8 In 3.13-3.15, 4 Mg 3.28
In 0.0866 0.4202 0.2538  7 Mg 3.13-3.19, 1 Sc 3.15, 4 In 3.24-3.25
In 0.2552 0.2552 0.7563  2 Sc 3.13-3.14, 6 Mg 3.18-3.21, 4 In 3.24-3.25
In 0.4202 0.0866 0.2538  7 Mg 3.13-3.19, 1 Sc 3.15, 4 In 3.24-3.25
In 0.5798 0.9134 0.7462  7 Mg 3.13-3.19, 1 Sc 3.15, 4 In 3.24-3.25
In 0.7448 0.7448 0.2437  2 Sc 3.13-3.14, 6 Mg 3.18-3.21, 4 In 3.24-3.25
In 0.9134 0.5798 0.7462  7 Mg 3.13-3.19, 1 Sc 3.15, 4 In 3.24-3.25

Calculated values
- E_tot: -32.58 eV for the cell shown
- Energy relative to the elements: -0.154 eV/atom
- N(E_F): 5.85 states/eV/f.u.
- Symmetry: C2/m

---

3.
Computed, not measured: a relaxed structure of Mg4TiN4 at the PBE level of DFT.

Unit cell a=5.4636 b=5.4802 c=8.2868 alpha=70.71 beta=83.66 gamma=68.98
With the nearest neighbours (Å) after each atom.
Fractional coordinates of all 18 atoms:
Mg 0.2275 0.3235 0.2963  4 N 2.07-2.17
Mg 0.2369 0.5544 0.9257  5 N 2.14-2.32
Mg 0.2421 0.9784 0.0872  5 N 2.15-2.37
Mg 0.2546 0.7403 0.5030  4 N 2.11-2.22
Mg 0.7454 0.2597 0.4970  4 N 2.11-2.22
Mg 0.7579 0.0216 0.9128  5 N 2.15-2.37
Mg 0.7631 0.4456 0.0743  5 N 2.14-2.32
Mg 0.7725 0.6765 0.7037  4 N 2.07-2.17
Ti 0.2222 0.1070 0.7307  4 N 1.90-1.97
Ti 0.7778 0.8930 0.2693  4 N 1.90-1.97
N 0.0063 0.9150 0.6957  1 Ti 1.94, 1 Mg 2.11
N 0.0098 0.3093 0.8790  1 Ti 1.94, 3 Mg 2.11-2.15
N 0.3409 0.3190 0.5276  1 Ti 1.90, 3 Mg 2.07-2.13
N 0.4930 0.8087 0.8916  1 Ti 1.97, 2 Mg 2.17-2.20
N 0.5070 0.1913 0.1084  1 Ti 1.97, 2 Mg 2.17-2.20
N 0.6591 0.6810 0.4724  1 Ti 1.90, 3 Mg 2.07-2.13
N 0.9902 0.6907 0.1210  1 Ti 1.94, 3 Mg 2.11-2.15
N 0.9937 0.0850 0.3043  1 Ti 1.94, 1 Mg 2.11

Calculated values
- Uncorrected formation energy: -8.87 eV/f.u.
- E_tot: -112.89 eV for the cell shown
- N(E_F): 0.00 states/eV/f.u.
- ΔE to the lowest computed polymorph: 0.00 kcal/mol of atoms
- Symmetry: P-1

---

4.
Computed, not measured: a relaxed structure of LiTlCu2 at the PBE level of DFT.

Unit cell a=3.2234 b=3.2234 c=6.1794 alpha=90.00 beta=90.00 gamma=90.00
With the nearest neighbours (Å) after each atom.
Fractional coordinates of all 4 atoms:
Li 0.0000 0.0000 0.0000  8 Cu 2.61
Tl 0.0000 0.0000 0.5000  8 Cu 2.92, 2 Li 3.09, 4 Tl 3.22
Cu 0.5000 0.5000 0.2043  1 Cu 2.52, 4 Li 2.61
Cu 0.5000 0.5000 0.7957  1 Cu 2.52, 4 Li 2.61

Calculated values
- E_tot: -11.98 eV for the cell shown
- Energy relative to the elements: 0.122 eV/atom
- N(E_F): 1.42 states/eV/f.u.
- Symmetry: P4/mmm

---

5.
Computed, not measured: a relaxed structure of Hf2HgRhBr at the PBE level of DFT.

Unit cell a=4.9041 b=4.9041 c=4.6001 alpha=90.00 beta=90.00 gamma=90.00
With the nearest neighbours (Å) after each atom.
Fractional coordinates of all 5 atoms:
Hf 0.0000 0.5000 0.0000  2 Br 2.45
Hf 0.5000 0.0000 0.0000  2 Br 2.45
Hg 0.0000 0.0000 0.5000  8 Hf 3.36, 4 Rh 3.47
Rh 0.5000 0.5000 0.5000  2 Br 2.30
Br 0.5000 0.5000 0.0000  2 Rh 2.30, 4 Hf 2.45

Calculated values
- Uncorrected formation energy: 2.73 eV/f.u.
- E_tot: -26.50 eV for the cell shown
- N(E_F): 2.53 states/eV/f.u.
- Symmetry: P4/mmm

---

6.
Computed, not measured: a relaxed structure of Be2CrIr at the PBE level of DFT.

Unit cell a=2.5650 b=2.5650 c=7.4182 alpha=90.00 beta=90.00 gamma=112.43
With the nearest neighbours (Å) after each atom.
Fractional coordinates of all 4 atoms:
Be 0.0000 0.0000 0.2502  2 Ir 2.34, 2 Cr 2.34, 4 Be 2.56
Be 0.0000 0.0000 0.7498  2 Ir 2.34, 2 Cr 2.34, 4 Be 2.56
Cr 0.5000 0.5000 0.0000  4 Be 2.34, 4 Cr 2.56
Ir 0.5000 0.5000 0.5000  4 Be 2.34, 4 Ir 2.56

Calculated values
- E_tot: -25.70 eV for the cell shown
- Energy relative to the elements: 0.060 eV/atom
- N(E_F): 3.60 states/eV/f.u.
- Symmetry: Cmmm

---

7.
Computed, not measured: a relaxed structure of Pr2AgGe4Ir3 at the PBE level of DFT.

Unit cell a=4.3684 b=4.3684 c=10.1650 alpha=90.00 beta=90.00 gamma=90.00
With the nearest neighbours (Å) after each atom.
Fractional coordinates of all 10 atoms:
Pr 0.0000 0.5000 0.2388  8 Ge 3.27-3.33, 6 Ir 3.31-3.44, 2 Ag 3.44
Pr 0.5000 0.0000 0.7612  8 Ge 3.27-3.33, 6 Ir 3.31-3.44, 2 Ag 3.44
Ag 0.0000 0.0000 0.5000  4 Ge 2.59
Ge 0.0000 0.0000 0.0000  4 Ir 2.51
Ge 0.0000 0.5000 0.6377  3 Ir 2.44-2.59, 2 Ag 2.59
Ge 0.5000 0.0000 0.3623  3 Ir 2.44-2.59, 2 Ag 2.59
Ge 0.5000 0.5000 0.0000  4 Ir 2.51
Ir 0.0000 0.5000 0.8781  5 Ge 2.44-2.51
Ir 0.5000 0.0000 0.1219  5 Ge 2.44-2.51
Ir 0.5000 0.5000 0.5000  4 Ge 2.59

Calculated values
- E_tot: -63.94 eV for the cell shown
- Energy relative to the elements: -0.648 eV/atom
- N(E_F): 5.51 states/eV/f.u.
- Symmetry: P-4m2

---

8.
Computed, not measured: a relaxed structure of ZnFe2Mo at the PBE level of DFT.

Unit cell a=2.5601 b=4.1754 c=5.0608 alpha=90.00 beta=101.96 gamma=90.00
With the nearest neighbours (Å) after each atom.
Fractional coordinates of all 4 atoms:
Zn 0.0000 0.0000 0.0000  5 Fe 2.52-2.82, 2 Zn 2.56, 2 Mo 2.74
Fe 0.5890 0.0000 0.4752  4 Fe 2.51-2.56, 2 Zn 2.56-2.65, 2 Mo 2.59
Fe 0.7748 0.5000 0.2339  4 Fe 2.51-2.56, 2 Zn 2.52, 2 Mo 2.55-2.63
Mo 0.3143 0.5000 0.7189  4 Fe 2.55-2.63, 2 Mo 2.56, 2 Zn 2.74

Calculated values
- E_tot: -28.53 eV for the cell shown
- Energy relative to the elements: 0.124 eV/atom
- N(E_F): 2.64 states/eV/f.u.
- Symmetry: Pm

---

9.
Computed, not measured: a relaxed structure of Co2P2N at the PBE level of DFT.

Unit cell a=3.6635 b=3.7498 c=5.2066 alpha=106.66 beta=91.47 gamma=110.01
With the nearest neighbours (Å) after each atom.
Fractional coordinates of all 5 atoms:
Co 0.0000 0.0000 0.0000  1 N 1.94, 1 P 2.15
Co 0.4138 0.7724 0.6385  2 N 1.83-1.94
P 0.1947 0.1445 0.4230  1 N 1.68
P 0.3761 0.6686 0.0452  4 Co 2.20-2.35
N 0.9343 0.8790 0.6107  1 P 1.68, 1 Co 1.83

Calculated values
- Uncorrected formation energy: -0.31 eV/f.u.
- E_tot: -33.67 eV for the cell shown
- N(E_F): 3.21 states/eV/f.u.
- ΔE to the lowest computed polymorph: 4.64 kcal/mol of atoms
- Symmetry: P1

---

10.
Computed, not measured: a relaxed structure of TiGaIr at the PBE level of DFT.

Unit cell a=4.2379 b=4.2379 c=4.2379 alpha=60.00 beta=60.00 gamma=60.00
With the nearest neighbours (Å) after each atom.
Fractional coordinates of all 3 atoms:
Ti 0.0000 0.0000 0.0000  4 Ir 2.60
Ga 0.5000 0.5000 0.5000  4 Ir 2.60
Ir 0.2500 0.2500 0.2500  4 Ga 2.60, 4 Ti 2.60

Calculated values
- E_tot: -21.34 eV for the cell shown
- Energy relative to the elements: -0.520 eV/atom
- N(E_F): 4.22 states/eV/f.u.
- Symmetry: F-43m

---

11.
Computed, not measured: a relaxed structure of Hf2TlZn at the PBE level of DFT.

Unit cell a=3.0846 b=3.0846 c=8.5299 alpha=90.00 beta=90.00 gamma=90.00
With the nearest neighbours (Å) after each atom.
Fractional coordinates of all 4 atoms:
Hf 0.0000 0.0000 0.2214  4 Zn 2.89, 4 Hf 3.08, 4 Tl 3.23
Hf 0.0000 0.0000 0.7786  4 Zn 2.89, 4 Hf 3.08, 4 Tl 3.23
Tl 0.5000 0.5000 0.5000  4 Tl 3.08, 8 Hf 3.23
Zn 0.5000 0.5000 0.0000  8 Hf 2.89, 4 Zn 3.08

Calculated values
- E_tot: -23.58 eV for the cell shown
- Energy relative to the elements: -0.007 eV/atom
- N(E_F): 4.44 states/eV/f.u.
- ΔE to the lowest computed polymorph: 0.00 kcal/mol of atoms
- Symmetry: P4/mmm

---

12.
Computed, not measured: a relaxed structure of MgBrCl at the PBE level of DFT.

Unit cell a=6.5312 b=3.7702 c=7.1640 alpha=90.00 beta=104.27 gamma=90.00
With the nearest neighbours (Å) after each atom.
Fractional coordinates of all 6 atoms:
Mg 0.0000 0.0000 0.0000  2 Cl 2.53, 4 Br 2.68
Mg 0.5000 0.5000 0.0000  4 Cl 2.55, 2 Br 2.69
Br 0.2269 0.5000 0.2261  3 Mg 2.68-2.69
Br 0.7731 0.5000 0.7739  3 Mg 2.68-2.69
Cl 0.2801 0.0000 0.8102  3 Mg 2.53-2.55
Cl 0.7199 0.0000 0.1898  3 Mg 2.53-2.55

Calculated values
- Uncorrected formation energy: -5.00 eV/f.u.
- E_tot: -20.23 eV for the cell shown
- N(E_F): 0.00 states/eV/f.u.
- ΔE to the lowest computed polymorph: 0.04 kcal/mol of atoms
- Symmetry: P2/m

---

What is the E_tot in the third record? -112.89 eV for the cell shown